{"formula": "Ac5Pu2Ge4", "functional": "PBE", "state": "relaxed", "lattice_angstrom": [[10.537, -1.971, 0.000], [10.537, 1.971, 0.000], [-0.244, 0.000, 8.149]], "species": ["Ac", "Ac", "Ac", "Ac", "Ac", "Pu", "Pu", "Ge", "Ge", "Ge", "Ge"], "frac_coords": [[0.000, 0.000, 0.000], [0.324, 0.324, 0.875], [0.370, 0.370, 0.329], [0.630, 0.630, 0.671], [0.676, 0.676, 0.125], [0.237, 0.237, 0.434], [0.763, 0.763, 0.566], [0.100, 0.100, 0.363], [0.477, 0.477, 0.657], [0.523, 0.523, 0.343], [0.900, 0.900, 0.637]], "e_form_ev_per_atom": -0.15, "sg": "No. 12", "vol_a3_per_cell": 338.5}

---

{"formula": "Ac4PuGe5", "functional": "PBE", "state": "relaxed", "lattice_angstrom": [[-5.040, 5.040, 3.179], [5.040, -5.040, 3.179], [5.040, 5.040, -3.179]], "species": ["Ac", "Ac", "Ac", "Ac", "Pu", "Ge", "Ge", "Ge", "Ge", "Ge"], "frac_coords": [[0.092, 0.301, 0.394], [0.301, 0.908, 0.209], [0.699, 0.092, 0.791], [0.908, 0.699, 0.606], [0.496, 0.496, 0.000], [0.229, 0.592, 0.821], [0.408, 0.229, 0.637], [0.592, 0.770, 0.363], [0.770, 0.408, 0.179], [0.991, 0.991, 0.000]], "e_form_ev_per_atom": -0.46, "sg": "No. 79", "vol_a3_per_cell": 323.1}

---

{"formula": "AcPuGe", "functional": "PBE", "state": "relaxed", "lattice_angstrom": [[0.000, 3.670, 3.670], [3.670, 0.000, 3.670], [3.670, 3.670, 0.000]], "species": ["Ac", "Pu", "Ge"], "frac_coords": [[0.000, 0.000, 0.000], [0.500, 0.500, 0.500], [0.750, 0.750, 0.750]], "e_form_ev_per_atom": -0.19, "sg": "No. 216", "vol_a3_per_cell": 98.9}

---

Calculated DFT total energy, -6.299; -5.849; -7.872 eV/atom (same order as the records).